## HgSb2Br2 (PBE)

Data for a geometry-optimized HgSb2Br2 structure.

It has space group I4/mmm (No. 139), with a = 4.274 Å, b = 4.274 Å, c = 19.667 Å, α = 90.00°, β = 90.00° and γ = 90.00°. Symmetry generates all atoms from Hg at (0.000, 0.000, 0.000), Sb at (0.000, 0.500, 0.250) and Br at (0.000, 0.000, 0.373).

The excess energy over the best structure of this formula in the dataset is 187.0 meV/atom. For the volume, the calculation gives 359 Å³/cell.

## Hg4Sb2Br5 (PBE)

Data for a geometry-optimized Hg4Sb2Br5 structure.

It has space group C2/m (No. 12), with a = 20.217 Å, b = 4.533 Å, c = 8.715 Å, α = 90.00°, β = 113.37° and γ = 90.00°. Symmetry generates all atoms from Hg at (0.005, 0.000, 0.260), Hg at (0.149, 0.500, 0.350), Sb at (0.081, 0.500, 0.001), Br at (0.000, 0.500, 0.500), Br at (0.173, 0.000, 0.038) and Br at (0.183, 0.000, 0.566).

For the volume, the calculation gives 733 Å³/cell.

## Hg2SbBr6 (PBE)

Data for a geometry-optimized Hg2SbBr6 structure.

It has space group P2_1/c (No. 14), with a = 4.194 Å, b = 19.457 Å, c = 9.145 Å, α = 90.00°, β = 95.25° and γ = 90.00°. Symmetry generates all atoms from Hg at (0.064, 0.119, 0.325), Sb at (0.500, 0.000, 0.000), Br at (0.207, 0.007, 0.707), Br at (0.214, 0.130, 0.042) and Br at (0.417, 0.679, 0.040).

The excess energy over the best structure of this formula in the dataset is 40.8 meV/atom. For the volume, the calculation gives 743 Å³/cell.

Number 1: VASP energy -23.79 eV/cell, ΔE_f (raw) 0.0 eV/f.u., calculated density 5.58 g/cm³. Number 2: VASP energy -39.82 eV/cell, ΔE_f (raw) -2.1 eV/f.u., calculated density 6.55 g/cm³. Number 3: VASP energy -35.96 eV/cell, ΔE_f (raw) -3.2 eV/f.u., calculated density 4.48 g/cm³.